Material: SrTl2W
Method: DFT, GGA-PBE
State: optimized geometry

Electronic total energy (eV/atom): -4.21
Mass density (g cm⁻³): 10.05
Formation energy (eV per atom): 0.629
SG: Cm (8)

a = 7.9148 Å, b = 7.9148 Å, c = 4.8203 Å
α = 107.69°, β = 107.69°, γ = 23.05°
Closest atoms and distances in Å follow each position.
Element x y z (fractional)
Sr1 0.0000 0.0000 0.0000  2 Sr 3.16, 2 W 3.30, 4 Tl 3.52
Tl1 0.1830 0.1830 0.6813  4 W 2.89, 2 Tl 3.16
Tl2 0.3626 0.3626 0.3625  2 W 2.91, 2 Tl 3.16
W1 0.6967 0.6967 0.1948  6 Tl 2.89-2.91, 2 W 3.16

Material: La2Ho2Er3
Method: DFT, GGA-PBE
State: optimized geometry

Electronic total energy (eV/atom): -4.46
Mass density (g cm⁻³): 7.91
Formation energy (eV per atom): 0.214
SG: I2_13 (199)

a = 8.4577 Å, b = 8.4577 Å, c = 8.4577 Å
α = 109.47°, β = 109.47°, γ = 109.47°
Closest atoms and distances in Å follow each position.
Element x y z (fractional)
La1 0.0000 0.6837 0.5000  1 Ho 3.36, 3 Er 3.48, 3 La 3.57
La2 0.5000 0.0000 0.6837  1 Ho 3.36, 3 Er 3.48, 3 La 3.57
La3 0.6837 0.5000 0.0000  1 Ho 3.36, 3 Er 3.48, 3 La 3.57
La4 0.8163 0.8163 0.8163  1 Ho 3.36, 3 Er 3.48, 3 La 3.57
Ho1 0.0000 0.0806 0.5000  6 Er 3.26-3.28, 1 La 3.36
Ho2 0.0806 0.5000 0.0000  6 Er 3.26-3.28, 1 La 3.36
Ho3 0.4194 0.4194 0.4194  6 Er 3.26-3.28, 1 La 3.36
Ho4 0.5000 0.0000 0.0806  6 Er 3.26-3.28, 1 La 3.36
Er1 0.2002 0.9502 0.2500  4 Ho 3.26-3.28, 2 La 3.48
Er2 0.2500 0.2002 0.9502  4 Ho 3.26-3.28, 2 La 3.48
Er3 0.2998 0.5498 0.7500  4 Ho 3.26-3.28, 2 La 3.48
Er4 0.5498 0.7500 0.2998  4 Ho 3.26-3.28, 2 La 3.48
Er5 0.7500 0.2998 0.5498  4 Ho 3.26-3.28, 2 La 3.48
Er6 0.9502 0.2500 0.2002  4 Ho 3.26-3.28, 2 La 3.48

Material: RbPmSn2
Method: DFT, GGA-PBE
State: optimized geometry

Electronic total energy (eV/atom): -3.45
Mass density (g cm⁻³): 5.41
Formation energy (eV per atom): -0.023
SG: R-3m (166)

a = 12.3753 Å, b = 12.3753 Å, c = 12.3753 Å
α = 17.14°, β = 17.14°, γ = 17.14°
Closest atoms and distances in Å follow each position.
Element x y z (fractional)
Rb1 0.0000 0.0000 0.0000  2 Sn 3.51, 6 Rb 3.69
Pm1 0.5000 0.5000 0.5000  6 Sn 3.35, 6 Pm 3.69
Sn1 0.0960 0.0960 0.0960  3 Pm 3.35, 1 Rb 3.51, 6 Sn 3.69
Sn2 0.9040 0.9040 0.9040  3 Pm 3.35, 1 Rb 3.51, 6 Sn 3.69

Material: Zr6CuAg
Method: DFT, GGA-PBE
State: optimized geometry

Electronic total energy (eV/atom): -7.34
Mass density (g cm⁻³): 7.02
Formation energy (eV per atom): -0.061
SG: I4/mmm (139)

a = 8.8591 Å, b = 8.8591 Å, c = 8.8591 Å
α = 150.33°, β = 150.33°, γ = 42.45°
Closest atoms and distances in Å follow each position.
Element x y z (fractional)
Zr1 0.1162 0.6162 0.5000  2 Cu 2.97, 2 Ag 2.97, 8 Zr 3.16-3.21
Zr2 0.2502 0.2502 0.0000  12 Zr 3.16-3.21
Zr3 0.3838 0.8838 0.5000  2 Cu 2.97, 2 Ag 2.97, 8 Zr 3.16-3.21
Zr4 0.6162 0.1162 0.5000  2 Cu 2.97, 2 Ag 2.97, 8 Zr 3.16-3.21
Zr5 0.7498 0.7498 0.0000  12 Zr 3.16-3.21
Zr6 0.8838 0.3838 0.5000  2 Cu 2.97, 2 Ag 2.97, 8 Zr 3.16-3.21
Cu1 0.0000 0.0000 0.0000  8 Zr 2.97, 4 Ag 3.21
Ag1 0.5000 0.5000 0.0000  8 Zr 2.97, 4 Cu 3.21

Material: Ho4Er3Zn4
Method: DFT, GGA-PBE
State: optimized geometry

Electronic total energy (eV/atom): -3.50
Mass density (g cm⁻³): 8.46
Formation energy (eV per atom): -0.123
SG: Immm (71)

a = 9.0907 Å, b = 9.0907 Å, c = 9.0907 Å
α = 147.67°, β = 135.57°, γ = 56.01°
Closest atoms and distances in Å follow each position.
Element x y z (fractional)
Ho1 0.0537 0.8207 0.2330  4 Zn 2.90-3.00, 1 Ho 3.20
Ho2 0.4123 0.1793 0.2330  4 Zn 2.90-3.00, 1 Ho 3.20
Ho3 0.5877 0.8207 0.7670  4 Zn 2.90-3.00, 1 Ho 3.20
Ho4 0.9463 0.1793 0.7670  4 Zn 2.90-3.00, 1 Ho 3.20
Er1 0.0000 0.5000 0.5000  2 Zn 2.90
Er2 0.3987 0.3987 0.0000  1 Er 3.25, 4 Zn 3.27, 4 Ho 3.37
Er3 0.6013 0.6013 0.0000  1 Er 3.25, 4 Zn 3.27, 4 Ho 3.37
Zn1 0.1806 0.6806 0.5000  1 Er 2.90, 6 Ho 2.90-3.00
Zn2 0.3146 0.0000 0.3146  1 Zn 2.55
Zn3 0.6854 0.0000 0.6854  1 Zn 2.55
Zn4 0.8194 0.3194 0.5000  1 Er 2.90, 6 Ho 2.90-3.00

Material: Li2Ag2Hg2Pb
Method: DFT, GGA-PBE
State: optimized geometry

Electronic total energy (eV/atom): -2.09
Mass density (g cm⁻³): 9.84
Formation energy (eV per atom): -0.111
SG: R-3m (166)

a = 7.7148 Å, b = 7.7148 Å, c = 7.7148 Å
α = 35.94°, β = 35.94°, γ = 35.94°
Closest atoms and distances in Å follow each position.
Element x y z (fractional)
Li1 0.2213 0.2213 0.2213  4 Ag 2.82-2.98, 1 Hg 2.95, 3 Pb 2.99
Li2 0.7787 0.7787 0.7787  4 Ag 2.82-2.98, 1 Hg 2.95, 3 Pb 2.99
Ag1 0.0835 0.0835 0.0835  4 Li 2.82-2.98, 3 Hg 3.03
Ag2 0.9165 0.9165 0.9165  4 Li 2.82-2.98, 3 Hg 3.03
Hg1 0.3576 0.3576 0.3576  3 Hg 2.94, 1 Li 2.95, 3 Ag 3.03, 1 Pb 3.08
Hg2 0.6424 0.6424 0.6424  3 Hg 2.94, 1 Li 2.95, 3 Ag 3.03, 1 Pb 3.08
Pb1 0.5000 0.5000 0.5000  6 Li 2.99, 2 Hg 3.08, 6 Ag 3.28